First-principles (PBE) data for MgReTc2 after structural relaxation, as listed in Alexandria.

Structure (CIF):
```
data_MgReTc2
_chemical_formula_sum 'Mg1 Re1 Tc2'
_space_group_name_H-M_alt 'P 1'
_space_group_IT_number 1
_cell_length_a 4.3932
_cell_length_b 4.3932
_cell_length_c 4.3932
_cell_angle_alpha 60.00
_cell_angle_beta 60.00
_cell_angle_gamma 60.00
loop_
_space_group_symop_operation_xyz
'x,y,z'
loop_
_atom_site_label
_atom_site_type_symbol
_atom_site_fract_x
_atom_site_fract_y
_atom_site_fract_z
Mg1 Mg 0.5000 0.5000 0.5000
Tc1 Tc 0.2500 0.2500 0.2500
Tc2 Tc 0.0000 0.0000 0.0000
Re1 Re 0.7500 0.7500 0.7500
```

Summary:
**Total DFT energy (no corrections)**: -33.63 eV/f.u.
**Total magnetization**: 0.00 μB/cell

=====

First-principles (PBE) data for LiFeAs after structural relaxation, as listed in Alexandria.

Structure (CIF):
```
data_LiFeAs
_chemical_formula_sum 'Li1 Fe1 As1'
_space_group_name_H-M_alt 'P 1'
_space_group_IT_number 1
_cell_length_a 2.9435
_cell_length_b 2.9435
_cell_length_c 6.1037
_cell_angle_alpha 90.00
_cell_angle_beta 90.00
_cell_angle_gamma 120.00
loop_
_space_group_symop_operation_xyz
'x,y,z'
loop_
_atom_site_label
_atom_site_type_symbol
_atom_site_fract_x
_atom_site_fract_y
_atom_site_fract_z
As1 As 0.0000 0.0000 0.0309
Fe1 Fe 0.3333 0.6667 0.3029
Li1 Li 0.6667 0.3333 0.6662
```

Summary:
**Total DFT energy (no corrections)**: -14.89 eV/f.u.
**Total magnetization**: 2.03 μB/cell

=====

First-principles (PBE) data for CeAuS2 after structural relaxation, as listed in Alexandria.

Structure (CIF):
```
data_CeAuS2
_chemical_formula_sum 'Ce1 Au1 S2'
_space_group_name_H-M_alt 'P 1'
_space_group_IT_number 1
_cell_length_a 4.3568
_cell_length_b 4.3568
_cell_length_c 7.7162
_cell_angle_alpha 73.60
_cell_angle_beta 73.60
_cell_angle_gamma 60.00
loop_
_space_group_symop_operation_xyz
'x,y,z'
loop_
_atom_site_label
_atom_site_type_symbol
_atom_site_fract_x
_atom_site_fract_y
_atom_site_fract_z
Au1 Au 0.0000 0.0000 0.0000
S1 S 0.1053 0.1053 0.6842
S2 S 0.8947 0.8947 0.3158
Ce1 Ce 0.5000 0.5000 0.5000
```

Summary:
**Energy relative to the elements, uncorrected**: -1218 meV/atom
**Total DFT energy (no corrections)**: -22.34 eV/f.u.
**Total magnetization**: 1.00 μB/cell